An optimized crystal structure of Sm3RuSe2, computed with PBE.

Cell lengths 4.1789, 4.1789, 17.7307 Å; angles 90.00, 90.00, 90.00 degrees
Last column: nearest neighbours and their distance in Å.
Space group I4/mmm (No. 139)
Unique sites:
Sm  0.0000  0.0000  0.0000 x2  4 Ru 2.95, 2 Se 3.08
Sm  0.0000  0.0000  0.3502 x4  1 Ru 2.66
Ru  0.0000  0.0000  0.5000 x2  6 Sm 2.66-2.95
Se  0.0000  0.0000  0.1736 x4  6 Sm 2.98-3.13

Computed properties:
Formation energy without anion corrections in eV/atom: -1.23
ρ in g/cm3: 7.616